Entry a
Compound: Mn3TcW
Source: the Alexandria database
Functional: PBE-GGA
Structure: relaxed

Lattice parameters (Å, degrees): 4.2962 4.2962 4.2962 90.00 90.00 90.00
Closest atoms and distances in Å follow each position.
Space group Pm-3m (No. 221)
One atom of each set of equivalent atoms:
Mn 0.0000 0.0000 0.5000 (multiplicity 3)  2 Tc 2.15
Tc 0.0000 0.0000 0.0000 (multiplicity 1)  6 Mn 2.15
W 0.5000 0.5000 0.5000 (multiplicity 1)  12 Mn 3.04

Values from the calculation:
crystal system	cubic

Entry b
Compound: Mn3TcW
Source: the Alexandria database
Functional: PBE-GGA
Structure: relaxed

Lattice parameters (Å, degrees): 4.3962 4.3962 4.3962 90.00 90.00 90.00
Closest atoms and distances in Å follow each position.
Space group Pm-3m (No. 221)
One atom of each set of equivalent atoms:
Mn 0.0000 0.0000 0.5000 (multiplicity 3)  2 W 2.20
Tc 0.5000 0.5000 0.5000 (multiplicity 1)  12 Mn 3.11
W 0.0000 0.0000 0.0000 (multiplicity 1)  6 Mn 2.20

Values from the calculation:
crystal system	cubic

Stability check: which of them is least stable? entry b.

Entry a
Compound: MnTc3W
Source: the Alexandria database
Functional: PBE-GGA
Structure: relaxed

Lattice parameters (Å, degrees): 4.3444 4.3444 4.3444 90.00 90.00 90.00
Closest atoms and distances in Å follow each position.
Space group Pm-3m (No. 221)
One atom of each set of equivalent atoms:
Mn 0.0000 0.0000 0.0000 (multiplicity 1)  6 Tc 2.17
Tc 0.0000 0.0000 0.5000 (multiplicity 3)  2 Mn 2.17
W 0.5000 0.5000 0.5000 (multiplicity 1)  12 Tc 3.07

Values from the calculation:
crystal system	cubic

Entry b
Compound: MnTc3W
Source: the Alexandria database
Functional: PBE-GGA
Structure: relaxed

Lattice parameters (Å, degrees): 4.6454 4.6454 4.6454 90.00 90.00 90.00
Closest atoms and distances in Å follow each position.
Space group Pm-3m (No. 221)
One atom of each set of equivalent atoms:
Mn 0.0000 0.0000 0.0000 (multiplicity 1)  12 Tc 3.28
Tc 0.0000 0.5000 0.5000 (multiplicity 3)  2 W 2.32
W 0.5000 0.5000 0.5000 (multiplicity 1)  6 Tc 2.32

Values from the calculation:
crystal system	cubic

Stability check: which of them is least stable? entry b.

Entry a
Compound: YMnTc3
Source: the Alexandria database
Functional: PBE-GGA
Structure: relaxed

Lattice parameters (Å, degrees): 4.5005 4.5005 4.5005 90.00 90.00 90.00
Closest atoms and distances in Å follow each position.
Space group Pm-3m (No. 221)
One atom of each set of equivalent atoms:
Y 0.0000 0.0000 0.0000 (multiplicity 1)  12 Tc 3.18
Mn 0.5000 0.5000 0.5000 (multiplicity 1)  6 Tc 2.25
Tc 0.0000 0.5000 0.5000 (multiplicity 3)  2 Mn 2.25

Values from the calculation:
crystal system	cubic

Entry b
Compound: YMnTc3
Source: the Alexandria database
Functional: PBE-GGA
Structure: relaxed

Lattice parameters (Å, degrees): 4.7039 4.7039 4.7039 90.00 90.00 90.00
Closest atoms and distances in Å follow each position.
Space group Pm-3m (No. 221)
One atom of each set of equivalent atoms:
Y 0.0000 0.0000 0.0000 (multiplicity 1)  6 Tc 2.35
Mn 0.5000 0.5000 0.5000 (multiplicity 1)  12 Tc 3.33
Tc 0.0000 0.0000 0.5000 (multiplicity 3)  2 Y 2.35

Values from the calculation:
crystal system	cubic

Stability check: which of them is least stable? entry b.

Entry a
Compound: YMnTc
Source: the Alexandria database
Functional: PBE-GGA
Structure: relaxed

Lattice parameters (Å, degrees): 4.0200 14.0433 4.2741 90.00 90.00 90.00
Closest atoms and distances in Å follow each position.
Space group Cmcm (No. 63)
One atom of each set of equivalent atoms:
Y 0.0000 0.0949 0.2500 (multiplicity 4)  4 Mn 2.95-3.06, 4 Tc 3.10
Mn 0.0000 0.2509 0.7500 (multiplicity 4)  4 Tc 2.34-2.44
Tc 0.0000 0.3348 0.2500 (multiplicity 4)  4 Mn 2.34-2.44

Values from the calculation:
crystal system	orthorhombic

Entry b
Compound: YMnTc
Source: the Alexandria database
Functional: PBE-GGA
Structure: relaxed

Lattice parameters (Å, degrees): 6.4516 6.4516 6.4516 90.00 90.00 90.00
Closest atoms and distances in Å follow each position.
Space group F-43m (No. 216)
One atom of each set of equivalent atoms:
Y 0.0000 0.0000 0.0000 (multiplicity 4)  4 Mn 2.79, 4 Tc 2.79
Mn 0.2500 0.2500 0.7500 (multiplicity 4)  4 Y 2.79
Tc 0.2500 0.2500 0.2500 (multiplicity 4)  4 Y 2.79

Values from the calculation:
crystal system	cubic

Stability check: which of them is least stable? entry b.

Entry a
Compound: MnZnTc
Source: the Alexandria database
Functional: PBE-GGA
Structure: relaxed

Lattice parameters (Å, degrees): 2.9190 2.9190 9.2843 90.00 90.00 90.00
Closest atoms and distances in Å follow each position.
Space group I4mm (No. 107)
One atom of each set of equivalent atoms:
Mn 0.0000 0.0000 0.0000 (multiplicity 2)  4 Tc 2.44, 4 Zn 2.59
Zn 0.0000 0.0000 0.6693 (multiplicity 2)  4 Mn 2.59, 5 Tc 2.72-2.88
Tc 0.0000 0.0000 0.3594 (multiplicity 2)  4 Mn 2.44, 4 Zn 2.72

Values from the calculation:
crystal system	tetragonal

Entry b
Compound: MnZnTc
Source: the Alexandria database
Functional: PBE-GGA
Structure: relaxed

Lattice parameters (Å, degrees): 5.6863 5.6863 5.6863 90.00 90.00 90.00
Closest atoms and distances in Å follow each position.
Space group F-43m (No. 216)
One atom of each set of equivalent atoms:
Mn 0.0000 0.0000 0.0000 (multiplicity 4)  4 Tc 2.46, 4 Zn 2.46
Zn 0.2500 0.2500 0.2500 (multiplicity 4)  4 Mn 2.46
Tc 0.2500 0.2500 0.7500 (multiplicity 4)  4 Mn 2.46

Values from the calculation:
crystal system	cubic

Stability check: which of them is least stable? entry b.

Entry a
Compound: ZrMnTc
Source: the Alexandria database
Functional: PBE-GGA
Structure: relaxed

Lattice parameters (Å, degrees): 5.1345 5.1722 7.3029 90.00 90.00 90.00
Closest atoms and distances in Å follow each position.
Space group Imma (No. 74)
One atom of each set of equivalent atoms:
Zr 0.0000 0.2500 0.1245 (multiplicity 4)  6 Mn 3.01-3.03, 6 Tc 3.02-3.03, 4 Zr 3.15-3.16
Mn 0.0000 0.0000 0.5000 (multiplicity 4)  4 Tc 2.58, 2 Mn 2.59
Tc 0.2500 0.2500 0.7500 (multiplicity 4)  2 Tc 2.57, 4 Mn 2.58

Values from the calculation:
crystal system	orthorhombic

Entry b
Compound: ZrMnTc
Source: the Alexandria database
Functional: PBE-GGA
Structure: relaxed

Lattice parameters (Å, degrees): 4.3489 4.3489 2.9920 90.00 90.00 120.00
Closest atoms and distances in Å follow each position.
Space group P3m1 (No. 156)
One atom of each set of equivalent atoms:
Zr 0.0000 0.0000 0.0000 (multiplicity 1)  3 Tc 2.73, 3 Mn 2.79, 2 Zr 2.99
Mn 0.3333 0.6667 0.4039 (multiplicity 1)  3 Tc 2.61, 3 Zr 2.79
Tc 0.6667 0.3333 0.6396 (multiplicity 1)  3 Mn 2.61, 3 Zr 2.73

Values from the calculation:
crystal system	trigonal

Entry c
Compound: ZrMnTc
Source: the Alexandria database
Functional: PBE-GGA
Structure: relaxed

Lattice parameters (Å, degrees): 5.9447 5.9447 5.9447 90.00 90.00 90.00
Closest atoms and distances in Å follow each position.
Space group F-43m (No. 216)
One atom of each set of equivalent atoms:
Zr 0.0000 0.0000 0.0000 (multiplicity 4)  4 Mn 2.57
Mn 0.2500 0.2500 0.2500 (multiplicity 4)  4 Zr 2.57, 4 Tc 2.57
Tc 0.0000 0.0000 0.5000 (multiplicity 4)  4 Mn 2.57

Values from the calculation:
crystal system	cubic

Entry d
Compound: ZrMnTc
Source: the Alexandria database
Functional: PBE-GGA
Structure: relaxed

Lattice parameters (Å, degrees): 6.1828 6.1828 6.1828 90.00 90.00 90.00
Closest atoms and distances in Å follow each position.
Space group F-43m (No. 216)
One atom of each set of equivalent atoms:
Zr 0.0000 0.0000 0.0000 (multiplicity 4)  4 Mn 2.68, 4 Tc 2.68
Mn 0.2500 0.2500 0.7500 (multiplicity 4)  4 Zr 2.68
Tc 0.2500 0.2500 0.2500 (multiplicity 4)  4 Zr 2.68

Values from the calculation:
crystal system	cubic

Stability check: which of them is least stable? entry d.